No. 1
The following is a DFT calculation (PBE-GGA) of a relaxed H5PtI crystal.

Properties
Final energy in eV/atom: -3.432

```
H5PtI
1.0
2.592 0.000 -1.174
-1.845 7.959 -4.073
1.292 -1.712 6.300
H Pt I
5 1 1
Cartesian
2.070 0.553 0.144
2.928 2.221 3.015
1.335 0.553 0.476
0.891 2.476 1.968
1.336 0.557 2.950
2.369 1.461 1.781
1.393 5.367 -0.373
```

---

No. 2
The following is a DFT calculation (PBE-GGA) of a relaxed HoP3Pd5 crystal.

Properties
Final energy in eV/atom: -5.819

```
HoP3Pd5
1.0
3.877 0.000 0.000
-1.939 6.716 0.000
0.000 0.000 11.725
Ho P Pd
2 6 10
Cartesian
1.939 5.305 8.794
0.000 1.411 2.931
0.000 5.517 10.835
1.939 4.767 2.931
0.000 5.517 6.753
1.939 1.199 4.973
0.000 1.949 8.794
1.939 1.199 0.890
1.939 3.485 4.863
0.000 3.230 10.726
0.000 0.000 5.863
0.000 0.000 0.000
0.000 5.451 1.578
1.939 1.265 10.147
1.939 1.265 7.441
1.939 3.485 0.999
0.000 3.230 6.862
0.000 5.451 4.284
```

---

Question: What is the final energy in the first record?
Answer: -3.432 eV/atom

---

Question: final energy of number 1 (H5PtI)?
Answer: -3.432 eV/atom